# 1
The following is a DFT calculation (PBE) of crystalline RbInSn at its relaxed geometry.

Output
E_tot = -0.1900 Ry/atom
Energy of formation from the pure elements = -15 meV/atom

```
RbInSn
1.0
13.1829 0.0000 0.0000
0.0000 13.1829 0.0000
6.5914 6.5914 2.6965
Rb In Sn
4 4 4
Direct
0.7142 0.5000 0.0000
0.2858 0.5000 0.0000
0.5000 0.2858 0.0000
0.5000 0.7142 0.0000
0.2144 0.2144 0.0000
0.7856 0.2144 0.0000
0.7856 0.7856 0.0000
0.2144 0.7856 0.0000
0.0000 0.6093 0.0000
0.0000 0.3907 0.0000
0.3907 0.0000 0.0000
0.6093 0.0000 0.0000
```


# 2
The following is a DFT calculation (PBE) of crystalline RbIn2Sn2 at its relaxed geometry.

Output
E_tot = -0.2160 Ry/atom
Energy of formation from the pure elements = -49 meV/atom
Distance to the lowest polymorph of the same formula = 0.562 eV/f.u.

```
RbIn2Sn2
1.0
9.4878 0.0000 0.0000
0.0000 9.4878 0.0000
0.0000 0.0000 3.5382
Sn Rb In
4 2 4
Direct
0.3741 0.8741 0.0000
0.8741 0.6259 0.0000
0.6259 0.1259 0.0000
0.1259 0.3741 0.0000
0.5000 0.5000 0.0000
0.0000 0.0000 0.0000
0.1563 0.6563 0.5000
0.3437 0.1563 0.5000
0.8437 0.3437 0.5000
0.6563 0.8437 0.5000
```


# 3
The following is a DFT calculation (PBE) of crystalline Rb2In15Sn2 at its relaxed geometry.

Output
E_tot = -0.1992 Ry/atom
Energy of formation from the pure elements = -25 meV/atom

```
Rb2In15Sn2
1.0
8.3805 -0.0190 -0.0169
1.0684 8.3122 -0.0169
1.0684 0.9377 8.2591
In Sn Rb
15 2 2
Direct
0.6458 0.6458 0.1557
0.8443 0.3542 0.3542
0.3542 0.3542 0.8443
0.5000 0.0000 0.0000
0.2944 0.0000 0.7056
0.0000 0.2944 0.7056
0.0000 0.5000 0.0000
0.0000 0.7056 0.2944
0.7056 0.0000 0.2944
0.6458 0.1557 0.6458
0.3542 0.8443 0.3542
0.7056 0.2944 0.0000
0.1557 0.6458 0.6458
0.2944 0.7056 0.0000
0.0000 0.0000 0.5000
0.0972 0.0972 0.0972
0.9028 0.9028 0.9028
0.3391 0.3391 0.3391
0.6609 0.6609 0.6609
```


# 4
The following is a DFT calculation (PBE) of crystalline Rb3In4Sn4 at its relaxed geometry.

Output
E_tot = -0.2123 Ry/atom
Energy of formation from the pure elements = -174 meV/atom
Distance to the lowest polymorph of the same formula = 0.000 eV/f.u.

```
Rb3In4Sn4
1.0
8.0839 0.0000 0.0000
-2.6946 7.6215 0.0000
-2.6946 -3.8108 6.6004
In Sn Rb
4 4 3
Direct
0.0000 0.0000 0.6875
0.0000 0.6875 0.0000
0.6875 0.0000 0.0000
0.3125 0.3125 0.3125
0.0000 0.3256 0.0000
0.6744 0.6744 0.6744
0.0000 0.0000 0.3256
0.3256 0.0000 0.0000
0.5000 0.5000 0.0000
0.0000 0.5000 0.5000
0.5000 0.0000 0.5000
```


# 5
The following is a DFT calculation (PBE) of crystalline RbIn2Sn3 at its relaxed geometry.

Output
E_tot = -0.2304 Ry/atom
Energy of formation from the pure elements = -60 meV/atom
Distance to the lowest polymorph of the same formula = 0.083 eV/f.u.

```
RbIn2Sn3
1.0
6.6481 0.0000 0.0000
-3.3240 5.7574 0.0000
0.0000 0.0000 5.1447
Sn In Rb
3 2 1
Direct
0.0000 0.5000 0.0000
0.5000 0.0000 0.0000
0.5000 0.5000 0.0000
0.6667 0.3333 0.4999
0.3333 0.6667 0.5001
0.0000 0.0000 0.5000
```


# 6
The following is a DFT calculation (PBE) of crystalline RbIn2Sn2 at its relaxed geometry.

Output
E_tot = -0.2243 Ry/atom
Energy of formation from the pure elements = -162 meV/atom
Distance to the lowest polymorph of the same formula = 0.000 eV/f.u.

```
RbIn2Sn2
1.0
5.2599 0.0000 0.0000
0.0000 5.2599 0.0000
0.0000 0.0000 11.9516
In Sn Rb
4 4 2
Direct
0.0000 0.0000 0.5000
0.0000 0.5000 0.1278
0.5000 0.5000 0.5000
0.5000 0.0000 0.8722
0.0000 0.0000 0.0000
0.5000 0.5000 0.0000
0.5000 0.0000 0.6278
0.0000 0.5000 0.3722
0.0000 0.5000 0.7504
0.5000 0.0000 0.2496
```


# 7
The following is a DFT calculation (PBE) of crystalline Rb2InSn at its relaxed geometry.

Output
E_tot = -0.1492 Ry/atom
Energy of formation from the pure elements = 139 meV/atom
Distance to the lowest polymorph of the same formula = 1.092 eV/f.u.

```
Rb2InSn
1.0
-4.0174 -4.5575 1.1337
-6.0656 0.9973 -0.6395
-3.0888 -2.6277 -4.6636
Rb In Sn
2 1 1
Direct
0.2500 0.2500 0.2500
0.7500 0.7500 0.7500
0.0000 0.0000 0.0000
0.5000 0.5000 0.5000
```


# 8
The following is a DFT calculation (PBE) of crystalline Rb3In4Sn4 at its relaxed geometry.

Output
E_tot = -0.2104 Ry/atom
Energy of formation from the pure elements = -148 meV/atom
Distance to the lowest polymorph of the same formula = 0.283 eV/f.u.

```
Rb3In4Sn4
1.0
4.8996 0.0000 -0.7890
-0.1532 5.5717 -0.9511
-0.0976 -0.3111 15.0005
Rb Sn In
3 4 4
Direct
0.6460 0.1460 0.2920
0.3540 0.8540 0.7080
0.0000 0.0000 0.0000
0.4506 0.4506 0.9012
0.1978 0.6978 0.3956
0.5494 0.5494 0.0988
0.8022 0.3022 0.6044
0.9022 0.4022 0.8044
0.7557 0.7557 0.5114
0.0978 0.5978 0.1956
0.2443 0.2443 0.4886
```


# 9
The following is a DFT calculation (PBE) of crystalline RbIn2Sn4 at its relaxed geometry.

Output
E_tot = -0.2399 Ry/atom
Energy of formation from the pure elements = -56 meV/atom
Distance to the lowest polymorph of the same formula = 0.000 eV/f.u.

```
RbIn2Sn4
1.0
-1.4231 4.3805 2.6449
0.3908 -2.8249 4.8889
7.1288 3.4385 -1.8593
Sn In Rb
4 2 1
Direct
0.0000 0.2922 0.5843
0.5000 0.8142 0.6284
0.5000 0.1858 0.3716
0.0000 0.7078 0.4157
0.5000 0.5994 0.1988
0.5000 0.4006 0.8012
0.0000 0.0000 0.0000
```


# 10
The following is a DFT calculation (PBE) of crystalline Rb2InSn5 at its relaxed geometry.

Output
E_tot = -0.2195 Ry/atom
Energy of formation from the pure elements = 100 meV/atom
Distance to the lowest polymorph of the same formula = 1.668 eV/f.u.

```
Rb2InSn5
1.0
-1.6396 -5.4975 1.7184
6.8529 -2.1956 -0.4856
1.0758 1.8335 6.8920
Sn Rb In
5 2 1
Direct
0.0000 0.2970 0.2970
0.0000 0.2970 0.7030
0.5000 0.0000 0.0000
0.0000 0.7030 0.7030
0.0000 0.7030 0.2970
0.5000 0.5000 0.0000
0.5000 0.0000 0.5000
0.0000 0.0000 0.0000
```


# 11
The following is a DFT calculation (PBE) of crystalline Rb2InSn at its relaxed geometry.

Output
E_tot = -0.1575 Ry/atom
Energy of formation from the pure elements = 26 meV/atom
Distance to the lowest polymorph of the same formula = 0.640 eV/f.u.

```
Rb2InSn
1.0
13.8328 0.0000 0.0000
0.0000 13.8328 0.0000
6.9164 6.9164 2.8557
Sn Rb In
2 4 2
Direct
0.0000 0.0000 0.0000
0.7500 0.2500 0.5000
0.9457 0.6250 0.2500
0.8043 0.1250 0.2500
0.8750 0.0543 0.7500
0.3750 0.1957 0.7500
0.5000 0.5000 0.0000
0.2500 0.7500 0.5000
```


# 12
The following is a DFT calculation (PBE) of crystalline RbIn4Sn at its relaxed geometry.

Output
E_tot = -0.1985 Ry/atom
Energy of formation from the pure elements = -46 meV/atom
Distance to the lowest polymorph of the same formula = 0.000 eV/f.u.

```
RbIn4Sn
1.0
-1.6072 4.3205 -1.5121
-0.0482 -2.7704 -7.8645
-8.1546 -5.1097 1.8501
In Rb Sn
8 2 2
Direct
0.6672 0.5520 0.3344
0.5000 0.0000 0.0000
0.6672 0.9480 0.3344
0.3328 0.4480 0.6656
0.3328 0.0520 0.6656
0.0611 0.7500 0.1221
0.9389 0.2500 0.8779
0.5000 0.5000 0.0000
0.1254 0.2500 0.2508
0.8746 0.7500 0.7492
0.7752 0.2500 0.5504
0.2248 0.7500 0.4496
```